{"formula": "PuBeC", "functional": "PBE-GGA", "state": "optimized geometry", "cell": [[5.9995, 0.0000, 0.0000], [0.0000, 4.9548, 0.0000], [0.0000, 0.0000, 5.2752]], "species": ["Pu", "Pu", "Pu", "Pu", "Be", "Be", "Be", "Be", "C", "C", "C", "C"], "frac_coords": [[0.1771, 0.2500, 0.1555], [0.3229, 0.7500, 0.6555], [0.6771, 0.2500, 0.3445], [0.8229, 0.7500, 0.8445], [0.0514, 0.2500, 0.6590], [0.4486, 0.7500, 0.1590], [0.5514, 0.2500, 0.8410], [0.9486, 0.7500, 0.3410], [0.1628, 0.7500, 0.1209], [0.3372, 0.2500, 0.6209], [0.6628, 0.7500, 0.3791], [0.8372, 0.2500, 0.8791]], "e_above_lowest_polymorph_mev_per_atom": 0, "dos_at_fermi_per_ev_atom": 2.212, "delta_e_f_ev_per_atom": -0.050}